# KRb2CO3F

A geometry-optimized KRb2CO3F structure (PBE, the Alexandria database).

## Properties
E_form (uncorrected) ... -1.972 eV/atom
N(E_F) ... 0.00 states/eV per atom
DFT total energy ... -0.4114 Ry per atom

a = 12.357 Å, b = 7.792 Å, c = 7.187 Å
α = 90.00°, β = 118.75°, γ = 90.00°
Space group C2 (No. 5)
Symmetry-distinct sites (fractional):
K1 0.208 0.000 0.413 [4 per cell]
Rb1 0.000 0.278 0.500 [2 per cell]
Rb2 0.000 0.632 0.000 [2 per cell]
Rb3 0.213 0.918 0.922 [4 per cell]
C1 0.000 0.199 0.000 [2 per cell]
C2 0.000 0.707 0.500 [2 per cell]
O1 0.000 0.030 0.000 [2 per cell]
O2 0.000 0.875 0.500 [2 per cell]
O3 0.086 0.282 0.162 [4 per cell]
O4 0.088 0.623 0.658 [4 per cell]
F1 0.248 0.708 0.265 [4 per cell]